[1]
Pm2TmSi2Pt7: relaxed, PBE-GGA.

The structure in POSCAR format:
```
Pm2TmSi2Pt7
1.0
2.8869 -2.8634 0.0000
2.8869 2.8634 0.0000
-1.8987 0.0000 13.7014
Pm Tm Si Pt
2 1 2 7
Direct
0.1057 0.1057 0.3544
0.8943 0.8943 0.6456
0.0000 0.0000 0.0000
0.4160 0.4160 0.7482
0.5840 0.5840 0.2517
0.0527 0.5518 0.1569
0.3811 0.3811 0.5763
0.4482 0.9473 0.8431
0.5000 0.5000 0.0000
0.5518 0.0527 0.1569
0.6189 0.6189 0.4237
0.9473 0.4482 0.8431
```

V	18.9	Å³/atom
VASP energy	-0.247	Ha/atom
E_form (uncorrected)	-1.14	eV/atom
Fermi-level density of states	0.43	states/eV per atom

---

[2]
K2ReSb: relaxed, PBE-GGA.

The structure in POSCAR format:
```
K2ReSb
1.0
3.9187 -2.2612 0.0000
3.9187 2.2612 0.0000
-2.5116 0.0000 9.1748
K Re Sb
2 1 1
Direct
0.0000 0.0000 0.0000
0.1728 0.1728 0.5401
0.4198 0.4198 0.2698
0.7532 0.7532 0.2700
```

V	40.6	Å³/atom
VASP energy	-0.152	Ha/atom
E_form (uncorrected)	0.56	eV/atom
Fermi-level density of states	0.35	states/eV per atom

---

[3]
U2MnGa8: relaxed, PBE-GGA.

The structure in POSCAR format:
```
U2MnGa8
1.0
4.2823 0.0000 0.0000
0.0000 4.2823 0.0000
0.0000 0.0000 11.0554
U Mn Ga
2 1 8
Direct
0.0000 0.0000 0.1925
0.0000 0.0000 0.8075
0.0000 0.0000 0.5000
0.0000 0.5000 0.0000
0.0000 0.5000 0.3794
0.0000 0.5000 0.6206
0.5000 0.0000 0.0000
0.5000 0.0000 0.3794
0.5000 0.0000 0.6206
0.5000 0.5000 0.1905
0.5000 0.5000 0.8095
```

V	18.4	Å³/atom
VASP energy	-0.195	Ha/atom
Fermi-level density of states	1.07	states/eV per atom

---

[4]
Mg4Si7: relaxed, PBE-GGA.

The structure in POSCAR format:
```
Mg4Si7
1.0
4.2953 0.0000 0.0000
0.3699 6.9826 0.0000
1.7434 0.3844 14.0384
Mg Si
8 14
Direct
0.0000 0.0000 0.0000
0.0069 0.2602 0.1784
0.0786 0.5272 0.9467
0.1116 0.1710 0.7808
0.1562 0.6688 0.7120
0.5855 0.8498 0.8528
0.7110 0.6845 0.5322
0.7309 0.1376 0.4494
0.2080 0.3484 0.5683
0.2153 0.9899 0.5757
0.2237 0.8532 0.4195
0.2545 0.8854 0.1593
0.2894 0.5063 0.4146
0.4845 0.0274 0.2849
0.5309 0.7114 0.0336
0.5327 0.3731 0.0669
0.5406 0.2200 0.9163
0.6361 0.4758 0.8017
0.6730 0.3364 0.6485
0.6851 0.9814 0.6679
0.8268 0.4644 0.3321
0.8916 0.7912 0.2874
```

V	19.1	Å³/atom
VASP energy	-0.143	Ha/atom
E_form (uncorrected)	0.13	eV/atom
relative energy among the computed polymorphs	32	meV/atom
Fermi-level density of states	0.27	states/eV per atom